Cs2RbAsPd: optimized geometry, GGA-PBE.

Results
For the total energy, the calculation gives -2.62 eV/atom. The total magnetization is 0.000 Bohr magnetons per cell. The value obtained for the formation energy is -0.120 eV/atom. The calculation puts the density of states at the Fermi level at 0.79 states/eV per atom.

Unit cell a=7.0599 b=7.0599 c=4.8043 alpha=90.00 beta=90.00 gamma=90.00
Closest atoms and distances in Å follow each position.
Fractional positions:
Cs 0.5000 0.0000 0.0000  2 Pd 3.53
Cs 0.0000 0.5000 0.0000  2 Pd 3.53
As 0.0000 0.0000 0.5000  2 Pd 2.40
Rb 0.5000 0.5000 0.5000  8 Cs 4.27
Pd 0.0000 0.0000 0.0000  2 As 2.40


Be2AuSe: optimized geometry, GGA-PBE.

Results
For the total energy, the calculation gives -3.39 eV/atom. The total magnetization is 0.000 Bohr magnetons per cell. The calculation puts the energy relative to the elements, uncorrected at 0.160 eV per atom. The calculation puts the density of states at the Fermi level at 0.20 states/eV per atom.

Unit cell a=6.9376 b=6.9376 c=6.9376 alpha=152.61 beta=152.61 gamma=39.12
Closest atoms and distances in Å follow each position.
Fractional positions:
Se 0.5000 0.5000 0.0000  4 Be 2.32
Be 0.0000 0.0000 0.0000  4 Se 2.32
Be 0.2500 0.7500 0.5000  4 Au 2.32
Au 0.7500 0.2500 0.5000  4 Be 2.32


- What is the total magnetization in the first record?
  0.000 Bohr magnetons per cell


Repeat the second record exactly.
Be2AuSe: optimized geometry, GGA-PBE.

Results
For the total energy, the calculation gives -3.39 eV/atom. The total magnetization is 0.000 Bohr magnetons per cell. The calculation puts the energy relative to the elements, uncorrected at 0.160 eV per atom. The calculation puts the density of states at the Fermi level at 0.20 states/eV per atom.

Unit cell a=6.9376 b=6.9376 c=6.9376 alpha=152.61 beta=152.61 gamma=39.12
Closest atoms and distances in Å follow each position.
Fractional positions:
Se 0.5000 0.5000 0.0000  4 Be 2.32
Be 0.0000 0.0000 0.0000  4 Se 2.32
Be 0.2500 0.7500 0.5000  4 Au 2.32
Au 0.7500 0.2500 0.5000  4 Be 2.32